AcGdCdPb: relaxed, GGA-PBE.

abc: 5.635 5.635 5.635
angles: 60.00 60.00 60.00
Atoms (fractional coordinates):
Gd (0.000, 0.000, 0.000)
Ac (0.500, 0.500, 0.500)
Cd (0.250, 0.250, 0.250)
Pb (0.750, 0.750, 0.750)

Output
The crystal system is cubic. Its energy of formation from the pure elements is -0.380 eV/atom. The space group is F-43m, No. 216. The value obtained for the total energy is -6.08 eV/atom.